Density functional theory data (PBE-GGA) for an optimized crystal structure of Tc2IrBr.

Cell lengths 7.147, 4.623, 2.887 Å; angles 90.04, 66.10, 130.31 degrees
Element x y z (fractional)
Ir 0.500 0.500 0.000
Tc 0.000 0.000 0.000
Tc 0.500 0.000 0.500
Br 0.000 0.500 0.500

Results
Its energy above the lowest structure with this stoichiometry is 280 meV per atom.

Density functional theory data (PBE-GGA) for an optimized crystal structure of CrMoP2S.

Cell lengths 4.732, 4.732, 4.515 Å; angles 90.00, 90.00, 90.00 degrees
Element x y z (fractional)
Cr 0.500 0.500 0.500
Mo 0.000 0.000 0.000
S 0.000 0.000 0.500
P 0.000 0.500 0.000
P 0.500 0.000 0.000

Results
Its energy above the lowest structure with this stoichiometry is 319 meV per atom.

Density functional theory data (PBE-GGA) for an optimized crystal structure of InTcPd2S.

Cell lengths 4.905, 5.180, 4.905 Å; angles 90.00, 90.00, 90.00 degrees
Element x y z (fractional)
S 0.500 0.500 0.500
Tc 0.000 0.500 0.000
Pd 0.000 0.000 0.500
Pd 0.500 0.000 0.000
In 0.000 0.000 0.000

no.,E_form (uncorrected) (eV per atom),uncorrected energy (hartree per atom)
1,0.7632,-0.25920
2,1.0542,-0.22146
3,1.3747,-0.15247